12
Lattice="4.9624 0.0000 0.0000 0.2858 5.8242 0.0000 0.0906 0.1502 7.0013" Properties=species:S:1:pos:R:3 comment="PBE+U BaVIn2F8, optimized geometry" magmom_total_mub_per_atom=0.165 sg=P-1 total_energy_ev_per_cell=-62.29 pbc="T T T"
Ba 0.0000 0.0000 0.0000
V 0.0453 0.0751 3.5006
In 2.5930 2.7577 1.9818
In 2.7458 3.2167 5.0195
F 0.8406 4.4618 2.2434
F 0.7323 1.4706 2.1596
F 1.9077 5.7077 4.6093
F 2.6237 1.7731 6.9632
F 2.7151 4.2013 0.0381
F 3.4311 0.2667 2.3920
F 4.6065 4.5038 4.8417
F 4.4982 1.5126 4.7578